[1]
Density functional theory data (SCAN) for CaFe3B at its PBEsol-relaxed geometry. Values from VASP.

Output
DOS(E_F): 3.985 states/eV/cell
Electronic total energy: -11.4057 eV per atom
Symmetry: Pm-3m (221)
Volume: 15.955 A^3/atom
Energy above the most stable polymorph in this dataset: 1242 kJ/mol of formula units

The structure in Quantum ESPRESSO input format:
```
&SYSTEM
  ibrav = 0, nat = 5, ntyp = 3
/
ATOMIC_SPECIES
Ca 40.08 Ca.upf
Fe 55.84 Fe.upf
B 10.81 B.upf
ATOMIC_POSITIONS crystal
Ca 0.0000 0.0000 0.0000
Fe 0.0000 0.0000 0.5000
Fe 0.0000 0.5000 0.0000
Fe 0.5000 0.0000 0.0000
B 0.5000 0.5000 0.5000
CELL_PARAMETERS angstrom
4.3048 0.0000 0.0000
0.0000 4.3048 0.0000
0.0000 0.0000 4.3048
```

---

[2]
Density functional theory data (SCAN) for CaFe3B at its PBEsol-relaxed geometry. Values from VASP.

Output
DOS(E_F): 5.720 states/eV/cell
Electronic total energy: -13.9808 eV per atom
Symmetry: Pm-3m (221)
Volume: 12.501 A^3/atom
Energy above the most stable polymorph in this dataset: 0 kJ/mol of formula units

The structure in Quantum ESPRESSO input format:
```
&SYSTEM
  ibrav = 0, nat = 5, ntyp = 3
/
ATOMIC_SPECIES
Ca 40.08 Ca.upf
Fe 55.84 Fe.upf
B 10.81 B.upf
ATOMIC_POSITIONS crystal
Ca 0.0000 0.0000 0.0000
Fe 0.0000 0.5000 0.5000
Fe 0.5000 0.0000 0.5000
Fe 0.5000 0.5000 0.0000
B 0.5000 0.5000 0.5000
CELL_PARAMETERS angstrom
3.9686 0.0000 0.0000
0.0000 3.9686 0.0000
0.0000 0.0000 3.9686
```

---

[3]
Density functional theory data (SCAN) for CaGaBO4 at its PBEsol-relaxed geometry. Values from VASP.

Output
ΔE_f (raw): -2.716 eV per atom
DOS(E_F): 0.000 states/eV/cell
Electronic total energy: -11.0539 eV per atom
Symmetry: Ccc2 (37)
Volume: 13.377 A^3/atom

The structure in Quantum ESPRESSO input format:
```
&SYSTEM
  ibrav = 0, nat = 28, ntyp = 4
/
ATOMIC_SPECIES
Ca 40.08 Ca.upf
Ga 69.72 Ga.upf
B 10.81 B.upf
O 16.00 O.upf
ATOMIC_POSITIONS crystal
Ca 0.0514 0.2327 0.0000
Ca 0.2327 0.0514 0.5000
Ca 0.7673 0.9486 0.5000
Ca 0.9486 0.7673 0.0000
Ga 0.2753 0.6878 0.7262
Ga 0.3122 0.7247 0.2262
Ga 0.6878 0.2753 0.2262
Ga 0.7247 0.3122 0.7262
B 0.1511 0.3678 0.4584
B 0.3678 0.1511 0.9584
B 0.6322 0.8489 0.9584
B 0.8489 0.6322 0.4584
O 0.0713 0.1843 0.4231
O 0.1656 0.4371 0.6771
O 0.1843 0.0713 0.9231
O 0.1914 0.7354 0.9812
O 0.2179 0.4770 0.2647
O 0.2646 0.8086 0.4812
O 0.4371 0.1656 0.1771
O 0.4770 0.2179 0.7647
O 0.5230 0.7821 0.7647
O 0.5629 0.8344 0.1771
O 0.7354 0.1914 0.4812
O 0.7821 0.5230 0.2647
O 0.8086 0.2646 0.9812
O 0.8157 0.9287 0.9231
O 0.8344 0.5629 0.6771
O 0.9287 0.8157 0.4231
CELL_PARAMETERS angstrom
4.1439 -7.7272 0.0000
4.1439 7.7272 0.0000
0.0000 0.0000 5.8486
```

---

[4]
Density functional theory data (SCAN) for CaGaB2Rh at its PBEsol-relaxed geometry. Values from VASP.

Output
DOS(E_F): 2.532 states/eV/cell
Electronic total energy: -13.5646 eV per atom
Symmetry: P4/mmm (123)
Volume: 16.513 A^3/atom

The structure in Quantum ESPRESSO input format:
```
&SYSTEM
  ibrav = 0, nat = 5, ntyp = 4
/
ATOMIC_SPECIES
Ca 40.08 Ca.upf
Ga 69.72 Ga.upf
B 10.81 B.upf
Rh 102.91 Rh.upf
ATOMIC_POSITIONS crystal
Ca 0.0000 0.0000 0.0000
Ga 0.0000 0.0000 0.5000
B 0.0000 0.5000 0.5000
B 0.5000 0.0000 0.5000
Rh 0.5000 0.5000 0.0000
CELL_PARAMETERS angstrom
3.9871 0.0000 0.0000
0.0000 3.9871 0.0000
0.0000 0.0000 5.1936
```

---

[5]
Density functional theory data (SCAN) for CaGaBRu2 at its PBEsol-relaxed geometry. Values from VASP.

Output
DOS(E_F): 3.221 states/eV/cell
Electronic total energy: -20.5033 eV per atom
Symmetry: P4/mmm (123)
Volume: 15.237 A^3/atom

The structure in Quantum ESPRESSO input format:
```
&SYSTEM
  ibrav = 0, nat = 5, ntyp = 4
/
ATOMIC_SPECIES
Ca 40.08 Ca.upf
Ga 69.72 Ga.upf
B 10.81 B.upf
Ru 101.07 Ru.upf
ATOMIC_POSITIONS crystal
Ca 0.0000 0.0000 0.0000
Ga 0.5000 0.5000 0.0000
B 0.0000 0.0000 0.5000
Ru 0.0000 0.5000 0.5000
Ru 0.5000 0.0000 0.5000
CELL_PARAMETERS angstrom
4.0974 0.0000 0.0000
0.0000 4.0974 0.0000
0.0000 0.0000 4.5380
```

---

[6]
Density functional theory data (SCAN) for CaGeB2 at its PBEsol-relaxed geometry. Values from VASP.

Output
DOS(E_F): 1.960 states/eV/cell
Electronic total energy: -10.4992 eV per atom
Symmetry: I4_1/amd (141)
Volume: 15.092 A^3/atom

The structure in Quantum ESPRESSO input format:
```
&SYSTEM
  ibrav = 0, nat = 8, ntyp = 3
/
ATOMIC_SPECIES
Ca 40.08 Ca.upf
Ge 72.64 Ge.upf
B 10.81 B.upf
ATOMIC_POSITIONS crystal
Ca 0.3750 0.6250 0.7500
Ca 0.6250 0.3750 0.2500
Ge 0.1250 0.8750 0.2500
Ge 0.8750 0.1250 0.7500
B 0.0000 0.0000 0.0000
B 0.0000 0.0000 0.5000
B 0.0000 0.5000 0.0000
B 0.5000 0.0000 0.5000
CELL_PARAMETERS angstrom
-2.0563 2.0563 7.1386
2.0563 -2.0563 7.1386
2.0563 2.0563 -7.1386
```